A geometry-optimized SiBrF2 structure, computed with PBE-GGA.

Computed properties:
The density of states at the Fermi level is 0.071 states/eV/atom. For the spin magnetization, the calculation gives 0.000 μB per atom. The value obtained for the formation energy from raw total energies is -4.8 eV per formula unit.

Cell: 6.0619 6.0619 6.0955 Å, 60.18 60.18 90.00°
Sites, in units of the cell vectors:
Br  0.0000  0.0000  0.0000
Br  0.7500  0.2500  0.5000
Si  0.2500  0.7500  0.5000
Si  0.5000  0.5000  0.0000
F  0.3750  0.1250  0.2500
F  0.8750  0.6250  0.7500
F  0.3750  0.6250  0.7500
F  0.3750  0.6250  0.2500